CoCuNi2: relaxed, PBE.

## Properties
* DFT total energy: -88.7 eV per cell
* density: 8.9 Mg/m³
* DOS(E_F): 1.253 states/eV per atom
* spin magnetization: 11.0 μB per cell
* ΔH_f (0 K): 0.149 eV/atom

Cell lengths 5.6427, 5.6427, 5.6427 Å; angles 90.00, 90.00, 90.00 degrees
Space group F-43m (No. 216)
Symmetry-distinct sites (fractional):
Co1 0.0000 0.0000 0.0000
Cu1 0.2500 0.2500 0.2500
Ni1 0.0000 0.0000 0.5000
Ni2 0.2500 0.2500 0.7500